# K2CoAu SCAN single point on PBEsol structure
# * DOS at the Fermi energy: 1.92 states/eV per cell
# * energy relative to the elements: 191.7 meV/atom
data_K2CoAu
_chemical_formula_sum 'K4 Co2 Au2'
_symmetry_space_group_name_H-M 'I m m 2'
_symmetry_Int_Tables_number 44
_cell_length_a 4.502
_cell_length_b 5.609
_cell_length_c 9.131
_cell_angle_alpha 90.00
_cell_angle_beta 90.00
_cell_angle_gamma 90.00
loop_
_symmetry_equiv_pos_as_xyz
'x,y,z'
'-x,-y,z'
'-x,y,z'
'x,-y,z'
'x+1/2,y+1/2,z+1/2'
'-x+1/2,-y+1/2,z+1/2'
'-x+1/2,y+1/2,z+1/2'
'x+1/2,-y+1/2,z+1/2'
loop_
_atom_site_label
_atom_site_fract_x
_atom_site_fract_y
_atom_site_fract_z
K1 0.000 0.000 0.000
K2 0.000 0.500 0.192
Co1 0.000 0.000 0.388
Au1 0.000 0.500 0.800

# MnBe2Ru SCAN single point on PBEsol structure
# * DOS at the Fermi energy: 1.95 states/eV per cell
# * energy relative to the elements: -114.5 meV/atom
data_MnBe2Ru
_chemical_formula_sum 'Mn1 Be2 Ru1'
_symmetry_space_group_name_H-M 'P 1 2/m 1'
_symmetry_Int_Tables_number 10
_cell_length_a 2.473
_cell_length_b 3.643
_cell_length_c 4.726
_cell_angle_alpha 90.00
_cell_angle_beta 100.39
_cell_angle_gamma 90.00
loop_
_symmetry_equiv_pos_as_xyz
'x,y,z'
'-x,-y,-z'
'-x,y,-z'
'x,-y,z'
loop_
_atom_site_label
_atom_site_fract_x
_atom_site_fract_y
_atom_site_fract_z
Mn1 0.000 0.000 0.000
Be1 0.258 0.500 0.755
Ru1 0.500 0.000 0.500

# Ni5Rh4 SCAN single point on PBEsol structure
# * DOS at the Fermi energy: 17.58 states/eV per cell
# * energy relative to the elements: 36.3 meV/atom
data_Ni5Rh4
_chemical_formula_sum 'Ni10 Rh8'
_symmetry_space_group_name_H-M 'I 4/m m m'
_symmetry_Int_Tables_number 139
_symmetry_space_group_name_Hall '-I 4 2'
_cell_length_a 7.647
_cell_length_b 7.647
_cell_length_c 3.659
_cell_angle_alpha 90.00
_cell_angle_beta 90.00
_cell_angle_gamma 90.00
loop_
_atom_site_label
_atom_site_fract_x
_atom_site_fract_y
_atom_site_fract_z
Ni1 0.000 0.000 0.000
Ni2 0.164 0.164 0.500
Rh1 0.000 0.327 0.000

# Li2MnSiO4 SCAN single point on PBEsol structure
# * DOS at the Fermi energy: 0.00 states/eV per cell
# * raw formation energy: -2.536 eV per atom
data_Li2MnSiO4
_chemical_formula_sum 'Li6 Mn3 Si3 O12'
_symmetry_space_group_name_H-M 'P 31 2 1'
_symmetry_Int_Tables_number 152
_cell_length_a 4.9705
_cell_length_b 4.9705
_cell_length_c 11.6323
_cell_angle_alpha 90.00
_cell_angle_beta 90.00
_cell_angle_gamma 120.00
loop_
_symmetry_equiv_pos_as_xyz
'x,y,z'
'-y,x-y,z+1/3'
'-x+y,-x,z+2/3'
'y,x,-z'
'x-y,-y,-z+2/3'
'-x,-x+y,-z+1/3'
loop_
_atom_site_label
_atom_site_fract_x
_atom_site_fract_y
_atom_site_fract_z
Li1 0.1170 0.6751 0.4136
Mn1 0.0000 0.5424 0.1667
Si1 0.0000 0.8028 0.6667
O1 0.1002 0.6634 0.7767
O2 0.1458 0.2970 0.3667

# P2RuSe SCAN single point on PBEsol structure
# * DOS at the Fermi energy: 14.36 states/eV per cell
# * raw formation energy: 0.624 eV per atom
data_P2RuSe
_chemical_formula_sum 'P8 Ru4 Se4'
_symmetry_space_group_name_H-M 'F -4 3 m'
_symmetry_Int_Tables_number 216
_symmetry_space_group_name_Hall 'F -4 2 3'
_cell_length_a 6.116
_cell_length_b 6.116
_cell_length_c 6.116
_cell_angle_alpha 90.00
_cell_angle_beta 90.00
_cell_angle_gamma 90.00
loop_
_atom_site_label
_atom_site_fract_x
_atom_site_fract_y
_atom_site_fract_z
P1 0.000 0.000 0.000
P2 0.250 0.250 0.250
Ru1 0.250 0.250 0.750
Se1 0.000 0.000 0.500

# ScHg2Os SCAN single point on PBEsol structure
# * DOS at the Fermi energy: 2.82 states/eV per cell
# * energy relative to the elements: 418.0 meV/atom
data_ScHg2Os
_chemical_formula_sum 'Sc3 Hg6 Os3'
_symmetry_space_group_name_H-M 'R -3 m'
_symmetry_Int_Tables_number 166
_symmetry_space_group_name_Hall '-R 3 2"'
_cell_length_a 3.0099
_cell_length_b 3.0099
_cell_length_c 28.2224
_cell_angle_alpha 90.00
_cell_angle_beta 90.00
_cell_angle_gamma 120.00
loop_
_atom_site_label
_atom_site_fract_x
_atom_site_fract_y
_atom_site_fract_z
Sc1 0.0000 0.0000 0.0000
Hg1 0.0000 0.0000 0.2473
Os1 0.0000 0.0000 0.5000

no.,energy (eV for the cell shown)
1,-204.7
2,-62.2
3,-431.3
4,-234.8
5,-292.8
6,-662.3